A relaxed structure of MgCr2P. Source: Alexandria, functional PBE.

Lattice parameters (Å, degrees): 2.9825 2.9825 6.1408 90.00 90.00 90.00
Closest atoms and distances in Å follow each position.
Fractional positions:
Cr (0.0000, 0.0000, 0.9914)  4 P 2.40, 4 Cr 2.48
Cr (0.5000, 0.5000, 0.2026)  1 P 2.45, 4 Cr 2.48
Mg (0.0000, 0.0000, 0.5016)  5 Cr 2.80-3.01, 4 P 2.81, 4 Mg 2.98
P (0.5000, 0.5000, 0.8044)  5 Cr 2.40-2.45

ρ   4.84 g/cm³
Total magnetization   0.00 μB/cell
Energy relative to the lowest polymorph listed for this composition   0.000 eV per atom
Energy of formation from the pure elements   0.0079 eV per atom